# 1
A relaxed Cs3GaS3 crystal. Source: the Alexandria database, functional PBE.

Results
Fermi-level density of states	0.000	states/eV per atom
E	-3.68	eV per atom
energy above the lowest structure with this stoichiometry	0.000	eV/atom
ΔE_f (raw)	-1.12	eV per atom
SG	No. 14

Structure (POSCAR):
```
Cs3GaS3
1.0
8.293 0.000 0.000
0.000 9.364 -0.979
0.000 -0.551 13.537
Ga Cs S
4 12 12
Direct
0.425 0.838 0.953 Ga
0.075 0.838 0.453 Ga
0.925 0.162 0.547 Ga
0.575 0.162 0.047 Ga
0.851 0.925 0.864 Cs
0.278 0.387 0.424 Cs
0.222 0.387 0.924 Cs
0.778 0.613 0.076 Cs
0.351 0.075 0.636 Cs
0.787 0.323 0.290 Cs
0.713 0.323 0.790 Cs
0.149 0.075 0.136 Cs
0.213 0.677 0.710 Cs
0.722 0.613 0.576 Cs
0.649 0.925 0.364 Cs
0.287 0.677 0.210 Cs
0.667 0.239 0.524 S
0.062 0.339 0.646 S
0.938 0.661 0.354 S
0.559 0.932 0.104 S
0.833 0.239 0.024 S
0.333 0.761 0.476 S
0.167 0.761 0.976 S
0.562 0.661 0.854 S
0.941 0.932 0.604 S
0.438 0.339 0.146 S
0.059 0.068 0.396 S
0.441 0.068 0.896 S
```



# 2
A relaxed Cs2GaS crystal. Source: the Alexandria database, functional PBE.

Results
Fermi-level density of states	0.826	states/eV per atom
E	-2.54	eV per atom
ΔE_f (raw)	-0.33	eV per atom
SG	No. 122

Structure (POSCAR):
```
Cs2GaS
1.0
-6.702 6.702 2.566
6.702 -6.702 2.566
6.702 6.702 -2.566
Cs Ga S
4 2 2
Direct
0.625 0.428 0.303 Cs
0.572 0.875 0.197 Cs
0.125 0.322 0.697 Cs
0.678 0.375 0.803 Cs
0.000 0.000 0.000 Ga
0.250 0.750 0.500 Ga
0.750 0.250 0.500 S
0.500 0.500 0.000 S
```



# 3
A relaxed CsGa3S crystal. Source: the Alexandria database, functional PBE.

Results
Fermi-level density of states	0.900	states/eV per atom
E	-1.51	eV per atom
energy above the lowest structure with this stoichiometry	1.103	eV/atom
ΔE_f (raw)	1.30	eV per atom
SG	No. 221

Structure (POSCAR):
```
CsGa3S
1.0
6.114 0.000 0.000
0.000 6.114 0.000
0.000 0.000 6.114
Ga Cs S
3 1 1
Direct
0.000 0.000 0.500 Ga
0.000 0.500 0.000 Ga
0.500 0.000 0.000 Ga
0.000 0.000 0.000 Cs
0.500 0.500 0.500 S
```



# 4
A relaxed CsGa3S crystal. Source: the Alexandria database, functional PBE.

Results
Fermi-level density of states	0.670	states/eV per atom
E	-2.61	eV per atom
energy above the lowest structure with this stoichiometry	0.000	eV/atom
ΔE_f (raw)	0.20	eV per atom
SG	No. 221

Structure (POSCAR):
```
CsGa3S
1.0
-0.598 2.611 -4.908
2.583 -4.240 -2.571
-4.923 -2.542 -0.752
Ga S Cs
3 1 1
Direct
0.000 0.000 0.500 Ga
0.500 0.000 0.000 Ga
0.000 0.500 0.000 Ga
0.000 0.000 0.000 S
0.500 0.500 0.500 Cs
```



# 5
A relaxed CsGaS3 crystal. Source: the Alexandria database, functional PBE.

Results
Fermi-level density of states	0.000	states/eV per atom
E	-4.10	eV per atom
energy above the lowest structure with this stoichiometry	0.002	eV/atom
ΔE_f (raw)	-0.85	eV per atom
SG	No. 14

Structure (POSCAR):
```
CsGaS3
1.0
-5.692 1.711 11.278
-5.916 -1.000 -2.834
-1.197 -7.678 0.561
S Ga Cs
12 4 4
Direct
0.587 0.624 0.317 S
0.679 0.140 0.030 S
0.671 0.353 0.441 S
0.413 0.376 0.683 S
0.321 0.860 0.970 S
0.829 0.853 0.441 S
0.179 0.360 0.970 S
0.087 0.876 0.683 S
0.171 0.147 0.559 S
0.329 0.647 0.559 S
0.821 0.640 0.030 S
0.913 0.124 0.317 S
0.231 0.678 0.803 Ga
0.769 0.322 0.197 Ga
0.269 0.178 0.803 Ga
0.731 0.822 0.197 Ga
0.416 0.215 0.252 Cs
0.584 0.785 0.748 Cs
0.084 0.715 0.252 Cs
0.916 0.285 0.748 Cs
```



# 6
A relaxed Cs3GaS3 crystal. Source: the Alexandria database, functional PBE.

Results
Fermi-level density of states	0.000	states/eV per atom
E	-3.58	eV per atom
energy above the lowest structure with this stoichiometry	0.100	eV/atom
ΔE_f (raw)	-1.02	eV per atom
SG	No. 11

Structure (POSCAR):
```
Cs3GaS3
1.0
7.055 0.000 0.000
0.000 10.191 0.007
0.000 -5.072 8.839
Ga Cs S
2 6 6
Direct
0.250 0.667 0.333 Ga
0.750 0.333 0.667 Ga
0.750 0.815 0.184 Cs
0.250 0.185 0.816 Cs
0.750 0.371 0.186 Cs
0.250 0.629 0.814 Cs
0.250 0.185 0.371 Cs
0.750 0.815 0.629 Cs
0.250 0.792 0.583 S
0.250 0.792 0.207 S
0.750 0.208 0.417 S
0.750 0.583 0.791 S
0.750 0.208 0.793 S
0.250 0.417 0.209 S
```



# 7
A relaxed CsGaS4 crystal. Source: the Alexandria database, functional PBE.

Results
E	-4.01	eV per atom
ΔE_f (raw)	-0.61	eV per atom
SG	No. 12

Structure (POSCAR):
```
CsGaS4
1.0
4.511 -1.847 -5.272
-1.504 7.770 -4.011
-0.976 1.489 13.061
S Ga Cs
8 2 2
Direct
0.966 0.623 0.247 S
0.528 0.587 0.775 S
0.528 0.188 0.775 S
0.472 0.812 0.225 S
0.000 0.821 0.000 S
0.472 0.413 0.225 S
0.000 0.179 0.000 S
0.034 0.377 0.753 S
0.445 0.544 0.089 Ga
0.555 0.456 0.911 Ga
0.121 0.172 0.345 Cs
0.879 0.828 0.655 Cs
```



# 8
A relaxed CsGa2S crystal. Source: the Alexandria database, functional PBE.

Results
Fermi-level density of states	0.712	states/eV per atom
E	-2.94	eV per atom
ΔE_f (raw)	-0.18	eV per atom
SG	No. 122

Structure (POSCAR):
```
CsGa2S
1.0
-1.201 -4.409 7.189
8.280 -1.996 0.159
4.183 -0.384 5.510
Cs Ga S
2 4 2
Direct
0.000 0.000 0.000 Cs
0.750 0.250 0.500 Cs
0.375 0.453 0.750 Ga
0.203 0.625 0.250 Ga
0.875 0.797 0.750 Ga
0.547 0.125 0.250 Ga
0.250 0.750 0.500 S
0.500 0.500 0.000 S
```



# 9
A relaxed CsGa3S5 crystal. Source: the Alexandria database, functional PBE.

Results
Fermi-level density of states	0.000	states/eV per atom
E	-4.28	eV per atom
ΔE_f (raw)	-0.89	eV per atom
SG	No. 14

Structure (POSCAR):
```
CsGa3S5
1.0
7.068 0.016 0.000
-0.223 11.060 0.000
0.000 0.000 12.949
Ga Cs S
12 4 20
Direct
0.265 0.984 0.274 Ga
0.235 0.016 0.774 Ga
0.898 0.873 0.963 Ga
0.398 0.873 0.537 Ga
0.735 0.016 0.726 Ga
0.485 0.674 0.301 Ga
0.985 0.674 0.199 Ga
0.515 0.326 0.699 Ga
0.602 0.127 0.463 Ga
0.015 0.326 0.801 Ga
0.102 0.127 0.037 Ga
0.765 0.984 0.226 Ga
0.632 0.358 0.085 Cs
0.368 0.642 0.915 Cs
0.132 0.358 0.415 Cs
0.868 0.642 0.585 Cs
0.998 0.861 0.290 S
0.753 0.159 0.312 S
0.708 0.957 0.554 S
0.618 0.313 0.532 S
0.247 0.841 0.688 S
0.764 0.572 0.297 S
0.208 0.957 0.946 S
0.264 0.572 0.203 S
0.292 0.043 0.446 S
0.118 0.313 0.968 S
0.498 0.861 0.210 S
0.002 0.139 0.710 S
0.382 0.687 0.468 S
0.736 0.428 0.797 S
0.792 0.043 0.054 S
0.882 0.687 0.032 S
0.502 0.139 0.790 S
0.236 0.428 0.703 S
0.747 0.841 0.812 S
0.253 0.159 0.188 S
```



# 10
A relaxed Cs2GaS8 crystal. Source: the Alexandria database, functional PBE.

Results
Fermi-level density of states	0.252	states/eV per atom
E	-3.80	eV per atom
ΔE_f (raw)	-0.37	eV per atom
SG	No. 2

Structure (POSCAR):
```
Cs2GaS8
1.0
14.122 0.330 6.879
6.059 5.641 4.401
7.305 0.908 8.415
S Cs Ga
8 2 1
Direct
0.792 0.175 0.410 S
0.930 0.420 0.936 S
0.070 0.580 0.064 S
0.904 0.814 0.447 S
0.096 0.186 0.553 S
0.259 0.281 0.604 S
0.208 0.825 0.590 S
0.741 0.719 0.396 S
0.656 0.079 0.990 Cs
0.344 0.921 0.010 Cs
0.000 0.000 0.000 Ga
```



# 11
A relaxed CsGaS3 crystal. Source: the Alexandria database, functional PBE.

Results
Fermi-level density of states	1.338	states/eV per atom
E	-2.21	eV per atom
energy above the lowest structure with this stoichiometry	1.892	eV/atom
ΔE_f (raw)	1.05	eV per atom
SG	No. 221

Structure (POSCAR):
```
CsGaS3
1.0
5.660 0.000 0.000
0.000 5.660 0.000
0.000 0.000 5.660
S Cs Ga
3 1 1
Direct
0.000 0.000 0.500 S
0.000 0.500 0.000 S
0.500 0.000 0.000 S
0.000 0.000 0.000 Cs
0.500 0.500 0.500 Ga
```



# 12
A relaxed CsGaS3 crystal. Source: the Alexandria database, functional PBE.

Results
Fermi-level density of states	0.000	states/eV per atom
E	-4.10	eV per atom
energy above the lowest structure with this stoichiometry	0.000	eV/atom
ΔE_f (raw)	-0.85	eV per atom
SG	No. 9

Structure (POSCAR):
```
CsGaS3
1.0
6.544 -0.187 -1.314
-2.220 6.487 -3.196
-0.240 0.162 7.559
S Cs Ga
6 2 2
Direct
0.565 0.515 0.651 S
0.150 0.712 0.042 S
0.442 0.914 0.069 S
0.650 0.042 0.712 S
0.065 0.651 0.515 S
0.942 0.069 0.914 S
0.021 0.116 0.441 Cs
0.521 0.441 0.116 Cs
0.421 0.771 0.726 Ga
0.921 0.726 0.771 Ga
```